# Ba2CuHg4

Crystalline Ba2CuHg4 at its relaxed geometry (PBE, the Alexandria database).

Cell: 9.5338 9.5338 9.5338 Å, 148.64 148.64 44.94°
Fractional positions:
Ba  0.1447  0.1447  0.0000
Ba  0.8553  0.8553  0.0000
Cu  0.5000  0.5000  0.0000
Hg  0.0000  0.5000  0.5000
Hg  0.3455  0.3455  0.0000
Hg  0.5000  0.0000  0.5000
Hg  0.6545  0.6545  0.0000

Values from the calculation:
- DOS(E_F): 0.84 states/eV/atom
- VASP energy: -1.586 eV/atom
- ΔH_f (0 K): -279 meV per atom